(1)
Computed, not measured: a geometry-optimized ZrSc2VZn structure at the PBE level of DFT.

Cell lengths 4.899, 4.899, 4.710 Å; angles 90.00, 90.00, 90.00 degrees
Sites, in units of the cell vectors:
Zr: 0.000 0.000 0.000
Sc: 0.000 0.500 0.500
Sc: 0.500 0.000 0.500
V: 0.500 0.500 0.000
Zn: 0.500 0.500 0.500

Properties
E ... -5.6214 eV per atom
Energy of formation from the pure elements ... 0.6994 eV/atom


(2)
Computed, not measured: a geometry-optimized Pa2GaIr structure at the PBE level of DFT.

Cell lengths 3.724, 3.724, 6.046 Å; angles 90.00, 90.00, 90.00 degrees
Sites, in units of the cell vectors:
Pa: 0.000 0.000 0.250
Pa: 0.000 0.000 0.750
Ga: 0.500 0.500 0.000
Ir: 0.500 0.500 0.500

Properties
Relative energy among the computed polymorphs ... 95 meV/atom
E ... -8.1660 eV per atom
Energy of formation from the pure elements ... -0.4461 eV/atom